Here is a geometry-optimized Sr3MnBe2O6 structure from Alexandria. Energies are from PBE+U.

abc: 5.591 5.591 6.428
angles: 90.00 90.00 120.00
Each line ends with the local moment (μB).
Sites, in units of the cell vectors:
Sr (0.333, 0.667, 0.671)  0.00
Sr (0.667, 0.333, 0.329)  0.00
Sr (0.000, 0.000, 0.000)  0.00
Mn (0.000, 0.000, 0.500)  4.60
Be (0.667, 0.333, 0.745)  0.01
Be (0.333, 0.667, 0.255)  0.01
O (0.647, 0.824, 0.283)  0.02
O (0.176, 0.353, 0.283)  0.02
O (0.176, 0.824, 0.283)  0.02
O (0.824, 0.647, 0.717)  0.02
O (0.353, 0.176, 0.717)  0.02
O (0.824, 0.176, 0.717)  0.02

Calculated values
Energy in eV per atom: -6.59